#a
Nd8YEr2 | GGA-PBE | relaxed

## Properties
Total magnetization ... 0.0 μB per cell

CIF file:
```
data_Nd8YEr2
_space_group_name_H-M_alt 'C 1 2/m 1'
_space_group_IT_number 12
_cell_length_a 9.192
_cell_length_b 16.628
_cell_length_c 6.012
_cell_angle_alpha 90.00
_cell_angle_beta 124.01
_cell_angle_gamma 90.00
loop_
_space_group_symop_operation_xyz
'x,y,z'
'-x,-y,-z'
'-x,y,-z'
'x,-y,z'
'x+1/2,y+1/2,z'
'-x+1/2,-y+1/2,-z'
'-x+1/2,y+1/2,-z'
'x+1/2,-y+1/2,z'
loop_
_atom_site_label
_atom_site_type_symbol
_atom_site_fract_x
_atom_site_fract_y
_atom_site_fract_z
_atom_site_occupancy
Nd1 Nd 0.000 0.206 0.000 1
Nd2 Nd 0.075 0.500 0.796 1
Nd3 Nd 0.217 0.119 0.682 1
Y1 Y 0.000 0.000 0.000 1
Er1 Er 0.000 0.311 0.500 1
```


#b
Nd8YEr2 | GGA-PBE | relaxed

## Properties
Total magnetization ... 0.0 μB per cell

CIF file:
```
data_Nd8YEr2
_space_group_name_H-M_alt 'P -1'
_space_group_IT_number 2
_cell_length_a 6.294
_cell_length_b 8.140
_cell_length_c 8.154
_cell_angle_alpha 107.37
_cell_angle_beta 97.40
_cell_angle_gamma 104.98
loop_
_space_group_symop_operation_xyz
'x,y,z'
'-x,-y,-z'
loop_
_atom_site_label
_atom_site_type_symbol
_atom_site_fract_x
_atom_site_fract_y
_atom_site_fract_z
_atom_site_occupancy
Nd1 Nd 0.046 0.184 0.410 1
Nd2 Nd 0.136 0.545 0.231 1
Nd3 Nd 0.229 0.910 0.047 1
Nd4 Nd 0.318 0.274 0.865 1
Y1 Y 0.500 0.000 0.500 1
Er1 Er 0.410 0.636 0.680 1
```


Least stable = #a


#a
Nd4Y2Er | GGA-PBE | relaxed

## Properties
Total magnetization ... 0.0 μB per cell

CIF file:
```
data_Nd4Y2Er
_space_group_name_H-M_alt 'C m c m'
_space_group_IT_number 63
_space_group_name_Hall '-C 2c 2'
_cell_length_a 3.602
_cell_length_b 22.054
_cell_length_c 12.320
_cell_angle_alpha 90.00
_cell_angle_beta 90.00
_cell_angle_gamma 90.00
loop_
_atom_site_label
_atom_site_type_symbol
_atom_site_fract_x
_atom_site_fract_y
_atom_site_fract_z
_atom_site_occupancy
Nd1 Nd 0.000 0.000 0.000 1
Nd2 Nd 0.000 0.238 0.122 1
Nd3 Nd 0.000 0.439 0.750 1
Y1 Y 0.000 0.373 0.011 1
Er1 Er 0.000 0.104 0.750 1
```


#b
Nd4Y2Er | GGA-PBE | relaxed

## Properties
Total magnetization ... 0.0 μB per cell

CIF file:
```
data_Nd4Y2Er
_space_group_name_H-M_alt 'C m m m'
_space_group_IT_number 65
_space_group_name_Hall '-C 2 2'
_cell_length_a 6.181
_cell_length_b 13.085
_cell_length_c 6.034
_cell_angle_alpha 90.00
_cell_angle_beta 90.00
_cell_angle_gamma 90.00
loop_
_atom_site_label
_atom_site_type_symbol
_atom_site_fract_x
_atom_site_fract_y
_atom_site_fract_z
_atom_site_occupancy
Nd1 Nd 0.000 0.137 0.000 1
Nd2 Nd 0.000 0.308 0.500 1
Y1 Y 0.000 0.387 0.000 1
Er1 Er 0.000 0.000 0.500 1
```


Least stable = #b


#a
Nd4Y2Er5 | GGA-PBE | relaxed

## Properties
Total magnetization ... 0.0 μB per cell

CIF file:
```
data_Nd4Y2Er5
_space_group_name_H-M_alt 'C 1 2/m 1'
_space_group_IT_number 12
_cell_length_a 16.605
_cell_length_b 5.702
_cell_length_c 9.102
_cell_angle_alpha 90.00
_cell_angle_beta 123.03
_cell_angle_gamma 90.00
loop_
_space_group_symop_operation_xyz
'x,y,z'
'-x,-y,-z'
'-x,y,-z'
'x,-y,z'
'x+1/2,y+1/2,z'
'-x+1/2,-y+1/2,-z'
'-x+1/2,y+1/2,-z'
'x+1/2,-y+1/2,z'
loop_
_atom_site_label
_atom_site_type_symbol
_atom_site_fract_x
_atom_site_fract_y
_atom_site_fract_z
_atom_site_occupancy
Nd1 Nd 0.097 0.000 0.452 1
Nd2 Nd 0.141 0.500 0.236 1
Y1 Y 0.056 0.500 0.761 1
Er1 Er 0.000 0.000 0.000 1
Er2 Er 0.194 0.000 0.888 1
Er3 Er 0.236 0.500 0.690 1
```


#b
Nd4Y2Er5 | GGA-PBE | relaxed

## Properties
Total magnetization ... 0.0 μB per cell

CIF file:
```
data_Nd4Y2Er5
_space_group_name_H-M_alt 'C 1 2/m 1'
_space_group_IT_number 12
_cell_length_a 19.210
_cell_length_b 5.665
_cell_length_c 6.616
_cell_angle_alpha 90.00
_cell_angle_beta 91.10
_cell_angle_gamma 90.00
loop_
_space_group_symop_operation_xyz
'x,y,z'
'-x,-y,-z'
'-x,y,-z'
'x,-y,z'
'x+1/2,y+1/2,z'
'-x+1/2,-y+1/2,-z'
'-x+1/2,y+1/2,-z'
'x+1/2,-y+1/2,z'
loop_
_atom_site_label
_atom_site_type_symbol
_atom_site_fract_x
_atom_site_fract_y
_atom_site_fract_z
_atom_site_occupancy
Nd1 Nd 0.020 0.000 0.286 1
Nd2 Nd 0.195 0.500 0.073 1
Y1 Y 0.099 0.500 0.554 1
Er1 Er 0.000 0.500 0.000 1
Er2 Er 0.130 0.000 0.890 1
Er3 Er 0.209 0.000 0.402 1
```


Least stable = #b


#a
NdY2Er5 | GGA-PBE | relaxed

## Properties
Total magnetization ... 0.0 μB per cell

CIF file:
```
data_NdY2Er5
_space_group_name_H-M_alt 'P -1'
_space_group_IT_number 2
_cell_length_a 6.266
_cell_length_b 6.695
_cell_length_c 12.229
_cell_angle_alpha 95.24
_cell_angle_beta 90.04
_cell_angle_gamma 90.00
loop_
_space_group_symop_operation_xyz
'x,y,z'
'-x,-y,-z'
loop_
_atom_site_label
_atom_site_type_symbol
_atom_site_fract_x
_atom_site_fract_y
_atom_site_fract_z
_atom_site_occupancy
Nd1 Nd 0.168 0.064 0.191 1
Y1 Y 0.166 0.313 0.936 1
Y2 Y 0.335 0.808 0.936 1
Er1 Er 0.165 0.559 0.684 1
Er2 Er 0.167 0.813 0.439 1
Er3 Er 0.334 0.062 0.684 1
Er4 Er 0.335 0.315 0.439 1
Er5 Er 0.335 0.564 0.191 1
```


#b
NdY2Er5 | GGA-PBE | relaxed

## Properties
Total magnetization ... 0.0 μB per cell

CIF file:
```
data_NdY2Er5
_space_group_name_H-M_alt 'I 4/m m m'
_space_group_IT_number 139
_space_group_name_Hall '-I 4 2'
_cell_length_a 7.087
_cell_length_b 7.087
_cell_length_c 10.002
_cell_angle_alpha 90.00
_cell_angle_beta 90.00
_cell_angle_gamma 90.00
loop_
_atom_site_label
_atom_site_type_symbol
_atom_site_fract_x
_atom_site_fract_y
_atom_site_fract_z
_atom_site_occupancy
Nd1 Nd 0.000 0.000 0.000 1
Y1 Y 0.000 0.500 0.000 1
Er1 Er 0.000 0.000 0.500 1
Er2 Er 0.250 0.250 0.250 1
```


Least stable = #b


#a
Nd12YEr7 | GGA-PBE | relaxed

## Properties
Total magnetization ... 0.0 μB per cell

CIF file:
```
data_Nd12YEr7
_space_group_name_H-M_alt 'R -3'
_space_group_IT_number 148
_space_group_name_Hall '-R 3'
_cell_length_a 12.2509
_cell_length_b 12.2509
_cell_length_c 15.7715
_cell_angle_alpha 90.00
_cell_angle_beta 90.00
_cell_angle_gamma 120.00
loop_
_atom_site_label
_atom_site_type_symbol
_atom_site_fract_x
_atom_site_fract_y
_atom_site_fract_z
_atom_site_occupancy
Nd1 Nd 0.0205 0.4474 0.2222 1
Nd2 Nd 0.0602 0.5917 0.5795 1
Y1 Y 0.0000 0.0000 0.5000 1
Er1 Er 0.0000 0.0000 0.0000 1
Er2 Er 0.0538 0.1867 0.2994 1
```


#b
Nd12YEr7 | GGA-PBE | relaxed

## Properties
Total magnetization ... 0.0 μB per cell

CIF file:
```
data_Nd12YEr7
_space_group_name_H-M_alt 'R -3 m'
_space_group_IT_number 166
_space_group_name_Hall '-R 3 2"'
_cell_length_a 19.6596
_cell_length_b 19.6596
_cell_length_c 6.2239
_cell_angle_alpha 90.00
_cell_angle_beta 90.00
_cell_angle_gamma 120.00
loop_
_atom_site_label
_atom_site_type_symbol
_atom_site_fract_x
_atom_site_fract_y
_atom_site_fract_z
_atom_site_occupancy
Nd1 Nd 0.0000 0.4125 0.0000 1
Nd2 Nd 0.0983 0.5492 0.4625 1
Y1 Y 0.0000 0.0000 0.5000 1
Er1 Er 0.0000 0.0000 0.0000 1
Er2 Er 0.0814 0.1628 0.2920 1
```


Least stable = #b


#a
NdYEr4 | GGA-PBE | relaxed

## Properties
Total magnetization ... 0.0 μB per cell

CIF file:
```
data_NdYEr4
_space_group_name_H-M_alt 'C 1 2/c 1'
_space_group_IT_number 15
_cell_length_a 10.695
_cell_length_b 6.177
_cell_length_c 12.015
_cell_angle_alpha 90.00
_cell_angle_beta 107.19
_cell_angle_gamma 90.00
loop_
_space_group_symop_operation_xyz
'x,y,z'
'-x,-y,-z'
'-x,y,-z+1/2'
'x,-y,z+1/2'
'x+1/2,y+1/2,z'
'-x+1/2,-y+1/2,-z'
'-x+1/2,y+1/2,-z+1/2'
'x+1/2,-y+1/2,z+1/2'
loop_
_atom_site_label
_atom_site_type_symbol
_atom_site_fract_x
_atom_site_fract_y
_atom_site_fract_z
_atom_site_occupancy
Nd1 Nd 0.000 0.081 0.250 1
Y1 Y 0.250 0.250 0.500 1
Er1 Er 0.084 0.252 0.000 1
Er2 Er 0.166 0.416 0.750 1
```


#b
NdYEr4 | GGA-PBE | relaxed

## Properties
Total magnetization ... 0.0 μB per cell

CIF file:
```
data_NdYEr4
_space_group_name_H-M_alt 'P -1'
_space_group_IT_number 2
_cell_length_a 4.995
_cell_length_b 6.151
_cell_length_c 7.099
_cell_angle_alpha 106.75
_cell_angle_beta 90.01
_cell_angle_gamma 113.89
loop_
_space_group_symop_operation_xyz
'x,y,z'
'-x,-y,-z'
loop_
_atom_site_label
_atom_site_type_symbol
_atom_site_fract_x
_atom_site_fract_y
_atom_site_fract_z
_atom_site_occupancy
Nd1 Nd 0.000 0.000 0.000 1
Y1 Y 0.000 0.000 0.500 1
Er1 Er 0.332 0.664 0.665 1
Er2 Er 0.333 0.666 0.167 1
```


Least stable = #b


#a
NdY12Er6 | GGA-PBE | relaxed

## Properties
Total magnetization ... 0.0 μB per cell

CIF file:
```
data_NdY12Er6
_space_group_name_H-M_alt 'R -3'
_space_group_IT_number 148
_space_group_name_Hall '-R 3'
_cell_length_a 15.4964
_cell_length_b 15.4964
_cell_length_c 8.7154
_cell_angle_alpha 90.00
_cell_angle_beta 90.00
_cell_angle_gamma 120.00
loop_
_atom_site_label
_atom_site_type_symbol
_atom_site_fract_x
_atom_site_fract_y
_atom_site_fract_z
_atom_site_occupancy
Nd1 Nd 0.0000 0.0000 0.0000 1
Y1 Y 0.0173 0.1411 0.6655 1
Y2 Y 0.0690 0.5610 0.6676 1
Er1 Er 0.0355 0.2814 0.3331 1
```


#b
NdY12Er6 | GGA-PBE | relaxed

## Properties
Total magnetization ... 0.0 μB per cell

CIF file:
```
data_NdY12Er6
_space_group_name_H-M_alt 'R -3'
_space_group_IT_number 148
_space_group_name_Hall '-R 3'
_cell_length_a 11.8664
_cell_length_b 11.8664
_cell_length_c 15.3048
_cell_angle_alpha 90.00
_cell_angle_beta 90.00
_cell_angle_gamma 120.00
loop_
_atom_site_label
_atom_site_type_symbol
_atom_site_fract_x
_atom_site_fract_y
_atom_site_fract_z
_atom_site_occupancy
Nd1 Nd 0.0000 0.0000 0.0000 1
Y1 Y 0.0136 0.8320 0.1908 1
Y2 Y 0.0417 0.8506 0.4150 1
Er1 Er 0.0110 0.4243 0.6799 1
```


Least stable = #b


#a
Nd5Y2Er3 | GGA-PBE | relaxed

## Properties
Total magnetization ... 0.0 μB per cell

CIF file:
```
data_Nd5Y2Er3
_space_group_name_H-M_alt 'I b a m'
_space_group_IT_number 72
_space_group_name_Hall '-I 2 2c'
_cell_length_a 12.445
_cell_length_b 17.180
_cell_length_c 6.465
_cell_angle_alpha 90.00
_cell_angle_beta 90.00
_cell_angle_gamma 90.00
loop_
_atom_site_label
_atom_site_type_symbol
_atom_site_fract_x
_atom_site_fract_y
_atom_site_fract_z
_atom_site_occupancy
Nd1 Nd 0.000 0.000 0.250 1
Nd2 Nd 0.104 0.336 0.000 1
Nd3 Nd 0.247 0.500 0.250 1
Y1 Y 0.094 0.177 0.500 1
Er1 Er 0.000 0.500 0.250 1
Er2 Er 0.216 0.164 0.000 1
```


#b
Nd5Y2Er3 | GGA-PBE | relaxed

## Properties
Total magnetization ... 0.1 μB per cell

CIF file:
```
data_Nd5Y2Er3
_space_group_name_H-M_alt 'C 1 2/c 1'
_space_group_IT_number 15
_cell_length_a 10.688
_cell_length_b 14.763
_cell_length_c 10.134
_cell_angle_alpha 90.00
_cell_angle_beta 121.82
_cell_angle_gamma 90.00
loop_
_space_group_symop_operation_xyz
'x,y,z'
'-x,-y,-z'
'-x,y,-z+1/2'
'x,-y,z+1/2'
'x+1/2,y+1/2,z'
'-x+1/2,-y+1/2,-z'
'-x+1/2,y+1/2,-z+1/2'
'x+1/2,-y+1/2,z+1/2'
loop_
_atom_site_label
_atom_site_type_symbol
_atom_site_fract_x
_atom_site_fract_y
_atom_site_fract_z
_atom_site_occupancy
Nd1 Nd 0.000 0.019 0.250 1
Nd2 Nd 0.000 0.230 0.250 1
Nd3 Nd 0.000 0.269 0.750 1
Nd4 Nd 0.248 0.379 0.249 1
Y1 Y 0.154 0.378 0.558 1
Er1 Er 0.000 0.479 0.750 1
Er2 Er 0.156 0.125 0.059 1
```


Least stable = #a


#a
Nd5Y4Er2 | GGA-PBE | relaxed

## Properties
Total magnetization ... 0.0 μB per cell

CIF file:
```
data_Nd5Y4Er2
_space_group_name_H-M_alt 'I m m m'
_space_group_IT_number 71
_space_group_name_Hall '-I 2 2'
_cell_length_a 3.545
_cell_length_b 9.175
_cell_length_c 23.687
_cell_angle_alpha 90.00
_cell_angle_beta 90.00
_cell_angle_gamma 90.00
loop_
_atom_site_label
_atom_site_type_symbol
_atom_site_fract_x
_atom_site_fract_y
_atom_site_fract_z
_atom_site_occupancy
Nd1 Nd 0.000 0.000 0.000 1
Nd2 Nd 0.000 0.299 0.353 1
Y1 Y 0.000 0.188 0.500 1
Y2 Y 0.000 0.500 0.098 1
Er1 Er 0.000 0.500 0.231 1
```


#b
Nd5Y4Er2 | GGA-PBE | relaxed

## Properties
Total magnetization ... 0.0 μB per cell

CIF file:
```
data_Nd5Y4Er2
_space_group_name_H-M_alt 'C 1 2/m 1'
_space_group_IT_number 12
_cell_length_a 23.712
_cell_length_b 3.610
_cell_length_c 8.833
_cell_angle_alpha 90.00
_cell_angle_beta 104.35
_cell_angle_gamma 90.00
loop_
_space_group_symop_operation_xyz
'x,y,z'
'-x,-y,-z'
'-x,y,-z'
'x,-y,z'
'x+1/2,y+1/2,z'
'-x+1/2,-y+1/2,-z'
'-x+1/2,y+1/2,-z'
'x+1/2,-y+1/2,z'
loop_
_atom_site_label
_atom_site_type_symbol
_atom_site_fract_x
_atom_site_fract_y
_atom_site_fract_z
_atom_site_occupancy
Nd1 Nd 0.000 0.000 0.000 1
Nd2 Nd 0.136 0.500 0.090 1
Nd3 Nd 0.226 0.500 0.815 1
Y1 Y 0.045 0.500 0.366 1
Y2 Y 0.181 0.000 0.454 1
Er1 Er 0.090 0.000 0.723 1
```


Least stable = #a